Entry from Alexandria via LeMat-Bulk: a relaxed Na2VF5 crystal (GGA+U). Values from VASP.

```
&SYSTEM
  ibrav = 0, nat = 32, ntyp = 3
/
ATOMIC_SPECIES
Na 22.99 Na.upf
V 50.94 V.upf
F 19.00 F.upf
ATOMIC_POSITIONS angstrom
Na -0.1241 0.0100 3.8681
Na -1.8448 2.6907 9.1818
Na 2.0181 2.9934 1.9368
Na 0.2974 5.1087 7.2506
Na 3.8449 0.2927 3.3769
Na 2.1242 2.4080 8.6906
Na 5.9871 2.7107 1.4456
Na 4.2664 5.3914 6.7594
V 0.0000 0.0000 0.0000
V -1.7207 2.7007 5.3137
V 3.7918 0.0000 0.0000
V 2.0711 2.7007 5.3137
F -1.9233 3.5451 7.0765
F -0.2026 4.5570 1.7628
F -1.1719 1.0294 6.1283
F 0.5488 1.6713 0.8146
F 0.1726 3.4907 5.3512
F 1.8933 4.6114 0.0375
F -0.0664 1.2271 9.1802
F 1.6543 1.4736 3.8665
F 2.3711 4.0491 3.9438
F 0.6504 4.0530 9.2575
F 3.4918 1.3484 1.3700
F 1.7712 1.3523 6.6837
F 2.4880 3.9278 6.7609
F 4.2087 4.1743 1.4472
F 2.2490 0.7900 10.5899
F 3.9697 1.9107 5.2762
F 3.5934 3.7301 9.8129
F 5.3141 4.3720 4.4992
F 4.3449 0.8444 8.8647
F 6.0656 1.8563 3.5510
CELL_PARAMETERS angstrom
7.5837 0.0000 0.0000
0.0000 5.4014 0.0000
-3.4414 0.0000 10.6274
```

Properties
Electronic total energy   -5.3017 eV per atom